(1)
## Y2MgBiO (PBE)

Data for crystalline Y2MgBiO at its relaxed geometry.

The space group is P4/mmm (No. 123) and the conventional cell measures 4.991, 4.991 and 4.287 Å, with angles of 90.00, 90.00 and 90.00 degrees. Symmetry generates all atoms from Y at (0.000, 0.500, 0.000), Mg at (0.000, 0.000, 0.500), Bi at (0.500, 0.500, 0.500) and O at (0.000, 0.000, 0.000).

The calculation puts the density of states at the Fermi level at 3.3 states/eV/cell. The value obtained for the total magnetization is 0.00 μB per atom. The value obtained for the electronic total energy is -5.935 eV per atom. The value obtained for the energy relative to the elements, uncorrected is -6.3 eV per formula unit.

***

(2)
## CePrCCl (PBE)

Data for crystalline CePrCCl at its relaxed geometry.

The space group is R3m (No. 160, hexagonal axes) and the conventional cell measures 3.7275, 3.7275 and 21.8692 Å, with angles of 90.00, 90.00 and 120.00 degrees. Symmetry generates all atoms from Ce at (0.0000, 0.0000, 0.0000), Pr at (0.0000, 0.0000, 0.2060), C at (0.0000, 0.0000, 0.6095) and Cl at (0.0000, 0.0000, 0.4365).

The calculation puts the density of states at the Fermi level at 12.3 states/eV/cell. The value obtained for the total magnetization is 0.12 μB per atom. The value obtained for the electronic total energy is -6.421 eV per atom. The value obtained for the energy relative to the elements, uncorrected is -3.9 eV per formula unit.

***

(3)
## TbDy2TmS6 (PBE)

Data for crystalline TbDy2TmS6 at its relaxed geometry.

The space group is R3 (No. 146, hexagonal axes) and the conventional cell measures 6.8942, 6.8942 and 18.4767 Å, with angles of 90.00, 90.00 and 120.00 degrees. Symmetry generates all atoms from Tb at (0.0000, 0.0000, 0.0000), Dy at (0.0000, 0.0000, 0.2975), Dy at (0.0000, 0.0000, 0.7988), Tm at (0.0000, 0.0000, 0.4981), S at (0.0009, 0.2989, 0.3995) and S at (0.0330, 0.6722, 0.5655).

The calculation puts the density of states at the Fermi level at 0.0 states/eV/cell. The value obtained for the total magnetization is 0.00 μB per atom. The value obtained for the electronic total energy is -6.368 eV per atom. The value obtained for the energy relative to the elements, uncorrected is -20.6 eV per formula unit.